1.
A relaxed DyHoZr2N4 crystal, computed with GGA-PBE.

Cell: 3.340 5.777 5.836 Å, 109.32 90.00 90.00°
Sites, in units of the cell vectors:
N (0.500, 0.254, 0.265)
N (0.500, 0.746, 0.735)
N (0.000, 0.244, 0.734)
N (0.000, 0.756, 0.266)
Dy (0.500, 0.500, 0.000)
Zr (0.500, 0.000, 0.500)
Zr (0.000, 0.500, 0.500)
Ho (0.000, 0.000, 0.000)

As for the space group: P2/m (10). Its uncorrected formation energy is -1.74 eV per atom. The density of states at the Fermi level is 3.2 states/eV per cell. Its total moment is 0.00 μB per atom. Its total energy is -73.47 eV for the cell shown.

---

2.
A relaxed Sm3Dy3ErS8 crystal, computed with GGA-PBE.

Cell: 7.867 7.867 7.911 Å, 119.82 90.00 120.00°
Sites, in units of the cell vectors:
S (0.754, 0.507, 0.260)
S (0.747, 0.994, 0.740)
S (0.246, 0.994, 0.740)
S (0.253, 0.506, 0.259)
S (0.747, 0.494, 0.741)
S (0.246, 0.493, 0.740)
S (0.253, 0.006, 0.260)
S (0.754, 0.006, 0.260)
Dy (0.500, 0.500, 0.500)
Dy (0.500, 0.000, 0.500)
Dy (0.000, 0.500, 0.500)
Sm (0.000, 0.500, 0.000)
Sm (0.000, 0.000, 0.000)
Sm (0.500, 0.500, 0.000)
Er (0.000, 0.000, 0.500)

As for the space group: R-3m (166). Its uncorrected formation energy is -2.06 eV per atom. The density of states at the Fermi level is 6.6 states/eV per cell. Its total moment is 0.00 μB per atom. Its total energy is -96.38 eV for the cell shown.

---

3.
A relaxed PrNd2H crystal, computed with GGA-PBE.

Cell: 3.455 3.455 8.837 Å, 90.00 90.00 90.00°
Sites, in units of the cell vectors:
Nd (0.000, 0.000, 0.815)
Nd (0.000, 0.000, 0.185)
Pr (0.500, 0.500, 0.500)
H (0.500, 0.500, 0.000)

As for the space group: P4/mmm (123). The density of states at the Fermi level is 4.0 states/eV per cell. The distance to the lowest polymorph of the same formula is 1.065 eV/f.u. Its total moment is 0.00 μB per atom. Its total energy is -17.25 eV for the cell shown.

---

Q: The highest density of states at the Fermi level belongs to which entry?
A: Sm3Dy3ErS8

---

Q: Among the records above, which one has the lowest density of states at the Fermi level?
A: DyHoZr2N4

---

Please write out number 2 again, unchanged.
A relaxed Sm3Dy3ErS8 crystal, computed with GGA-PBE.

Cell: 7.867 7.867 7.911 Å, 119.82 90.00 120.00°
Sites, in units of the cell vectors:
S (0.754, 0.507, 0.260)
S (0.747, 0.994, 0.740)
S (0.246, 0.994, 0.740)
S (0.253, 0.506, 0.259)
S (0.747, 0.494, 0.741)
S (0.246, 0.493, 0.740)
S (0.253, 0.006, 0.260)
S (0.754, 0.006, 0.260)
Dy (0.500, 0.500, 0.500)
Dy (0.500, 0.000, 0.500)
Dy (0.000, 0.500, 0.500)
Sm (0.000, 0.500, 0.000)
Sm (0.000, 0.000, 0.000)
Sm (0.500, 0.500, 0.000)
Er (0.000, 0.000, 0.500)

As for the space group: R-3m (166). Its uncorrected formation energy is -2.06 eV per atom. The density of states at the Fermi level is 6.6 states/eV per cell. Its total moment is 0.00 μB per atom. Its total energy is -96.38 eV for the cell shown.

---

Q: total moment of number 3 (PrNd2H)?
A: 0.00 μB per atom